1.
Cd5Ag6Hg: relaxed, GGA-PBE.

Cell lengths 8.221, 4.833, 7.659 Å; angles 71.61, 79.38, 54.26 degrees
Sites, in units of the cell vectors:
1 Cd 0.500 0.166 0.668
2 Cd 0.000 0.333 0.335
3 Cd 0.500 0.500 0.000
4 Cd 0.000 0.667 0.665
5 Cd 0.500 0.834 0.332
6 Ag 0.747 0.085 0.335
7 Ag 0.253 0.579 0.335
8 Ag 0.252 0.248 0.000
9 Ag 0.748 0.752 0.000
10 Ag 0.747 0.421 0.665
11 Ag 0.253 0.915 0.665
12 Hg 0.000 0.000 0.000

Calculated values
- Electronic total energy: -22.27 eV/f.u.
- V: 19.5 Å³ per atom
- Formation energy from the elements: -23 meV/atom
- Energy above the lowest structure with this stoichiometry: 8 meV/atom
- Crystal system: monoclinic

2.
Li2BePb: relaxed, GGA-PBE.

Cell lengths 3.948, 3.948, 4.267 Å; angles 90.00, 90.00, 90.00 degrees
Sites, in units of the cell vectors:
1 Be 0.000 0.500 0.500
2 Li 0.000 0.000 0.000
3 Li 0.500 0.500 0.000
4 Pb 0.500 0.000 0.500

Calculated values
- Electronic total energy: -10.92 eV/f.u.
- V: 16.6 Å³ per atom
- Formation energy from the elements: 86 meV/atom
- Energy above the lowest structure with this stoichiometry: 102 meV/atom
- Crystal system: tetragonal

3.
Re2AsPd: relaxed, GGA-PBE.

Cell lengths 5.748, 5.748, 6.671 Å; angles 64.48, 64.48, 90.00 degrees
Sites, in units of the cell vectors:
1 Re 0.623 0.125 0.250
2 Re 0.127 0.625 0.250
3 Re 0.375 0.377 0.750
4 Re 0.875 0.873 0.750
5 As 0.500 0.500 0.000
6 As 0.250 0.750 0.500
7 Pd 0.000 0.000 0.000
8 Pd 0.750 0.250 0.500

Calculated values
- Electronic total energy: -29.10 eV/f.u.
- V: 21.8 Å³ per atom
- Formation energy from the elements: 1410 meV/atom
- Crystal system: tetragonal

4.
ScPaW: relaxed, GGA-PBE.

Cell lengths 5.668, 5.668, 9.283 Å; angles 90.00, 90.00, 117.73 degrees
Sites, in units of the cell vectors:
1 Sc 0.339 0.661 0.285
2 Sc 0.667 0.333 0.166
3 Sc 0.667 0.333 0.834
4 Sc 0.339 0.661 0.715
5 Pa 0.000 0.000 0.244
6 Pa 0.000 0.000 0.756
7 Pa 0.348 0.168 0.500
8 Pa 0.832 0.652 0.500
9 W 0.832 0.168 0.500
10 W 0.643 0.828 0.000
11 W 0.172 0.357 0.000
12 W 0.164 0.836 0.000

Calculated values
- Electronic total energy: -28.09 eV/f.u.
- V: 22.0 Å³ per atom
- Formation energy from the elements: 230 meV/atom
- Crystal system: orthorhombic

5.
SrCoSi2Ru: relaxed, GGA-PBE.

Cell lengths 4.101, 4.101, 5.974 Å; angles 110.07, 110.07, 90.00 degrees
Sites, in units of the cell vectors:
1 Sr 0.000 0.000 0.000
2 Co 0.750 0.250 0.500
3 Si 0.643 0.643 0.285
4 Si 0.357 0.357 0.715
5 Ru 0.250 0.750 0.500

Calculated values
- Electronic total energy: -31.93 eV/f.u.
- V: 17.6 Å³ per atom
- Energy relative to the elements, uncorrected: -0.60 eV per atom
- Crystal system: tetragonal

6.
CsAl2Pb2: relaxed, GGA-PBE.

Cell lengths 4.249, 4.249, 9.725 Å; angles 77.38, 77.38, 90.00 degrees
Sites, in units of the cell vectors:
1 Pb 0.357 0.357 0.285
2 Pb 0.643 0.643 0.715
3 Cs 0.000 0.000 0.000
4 Al 0.750 0.250 0.500
5 Al 0.250 0.750 0.500

Calculated values
- Electronic total energy: -15.90 eV/f.u.
- V: 33.4 Å³ per atom
- Formation energy from the elements: -30 meV/atom
- Energy above the lowest structure with this stoichiometry: 0 meV/atom
- Crystal system: tetragonal